# GGA-PBE YEr2Tm6, optimized geometry
data_YEr2Tm6
_cell_length_a 12.597
_cell_length_b 14.021
_cell_length_c 6.456
_cell_angle_alpha 90.00
_cell_angle_beta 103.94
_cell_angle_gamma 90.00
_space_group_name_H-M_alt 'C 1 2/c 1'
_space_group_IT_number 15
_space_group_name_Hall '-C 2yc'
loop_
_atom_site_label
_atom_site_type_symbol
_atom_site_fract_x
_atom_site_fract_y
_atom_site_fract_z
_atom_site_occupancy
Y1 Y 0.000 0.119 0.250 1
Er1 Er 0.141 0.477 0.369 1
Tm1 Tm 0.037 0.315 0.003 1
Tm2 Tm 0.135 0.089 0.815 1
Tm3 Tm 0.238 0.300 0.728 1
# energy of formation from the pure elements: 0.1068 eV per atom



# GGA-PBE Cs5Cd3Au3, optimized geometry
data_Cs5Cd3Au3
_cell_length_a 11.0194
_cell_length_b 11.0194
_cell_length_c 5.4536
_cell_angle_alpha 90.00
_cell_angle_beta 90.00
_cell_angle_gamma 120.00
_space_group_name_H-M_alt 'P -6 2 m'
_space_group_IT_number 189
_space_group_name_Hall 'P -6 -2'
loop_
_atom_site_label
_atom_site_type_symbol
_atom_site_fract_x
_atom_site_fract_y
_atom_site_fract_z
_atom_site_occupancy
Cs1 Cs 0.0000 0.2571 0.0000 1
Cs2 Cs 0.3333 0.6667 0.0000 1
Cd1 Cd 0.0000 0.6259 0.5000 1
Au1 Au 0.0000 0.6278 0.0000 1
# energy of formation from the pure elements: -0.1862 eV per atom



Computed, not measured: a relaxed BaTbAlO4 crystal at the GGA-PBE level of DFT.

Geometry as CIF:
```
data_BaTbAlO4
_cell_length_a 5.683
_cell_length_b 5.807
_cell_length_c 7.215
_cell_angle_alpha 90.00
_cell_angle_beta 108.14
_cell_angle_gamma 90.00
_space_group_name_H-M_alt 'P 1 21/m 1'
_space_group_IT_number 11
_space_group_name_Hall '-P 2yb'
loop_
_atom_site_label
_atom_site_type_symbol
_atom_site_fract_x
_atom_site_fract_y
_atom_site_fract_z
_atom_site_occupancy
Ba1 Ba 0.207 0.250 0.429 1
Tb1 Tb 0.302 0.250 0.962 1
Al1 Al 0.245 0.750 0.169 1
O1 O 0.037 0.750 0.931 1
O2 O 0.055 0.750 0.323 1
O3 O 0.462 0.518 0.199 1
```



# GGA-PBE ZrBeAl2, optimized geometry
data_ZrBeAl2
_cell_length_a 3.121
_cell_length_b 3.121
_cell_length_c 6.555
_cell_angle_alpha 90.00
_cell_angle_beta 90.00
_cell_angle_gamma 90.00
_space_group_name_H-M_alt 'P 4 m m'
_space_group_IT_number 99
_space_group_name_Hall 'P 4 -2'
loop_
_atom_site_label
_atom_site_type_symbol
_atom_site_fract_x
_atom_site_fract_y
_atom_site_fract_z
_atom_site_occupancy
Zr1 Zr 0.000 0.000 0.000 1
Be1 Be 0.500 0.500 0.723 1
Al1 Al 0.000 0.000 0.549 1
Al2 Al 0.500 0.500 0.297 1
# energy of formation from the pure elements: -0.1170 eV per atom



Computed, not measured: a relaxed HgPt2Br crystal at the GGA-PBE level of DFT.

Geometry as CIF:
```
data_HgPt2Br
_cell_length_a 3.3023
_cell_length_b 3.3023
_cell_length_c 24.5170
_cell_angle_alpha 90.00
_cell_angle_beta 90.00
_cell_angle_gamma 120.00
_space_group_name_H-M_alt 'R -3 m'
_space_group_IT_number 166
_space_group_name_Hall '-R 3 2"'
loop_
_atom_site_label
_atom_site_type_symbol
_atom_site_fract_x
_atom_site_fract_y
_atom_site_fract_z
_atom_site_occupancy
Hg1 Hg 0.0000 0.0000 0.0000 1
Pt1 Pt 0.0000 0.0000 0.2499 1
Br1 Br 0.0000 0.0000 0.5000 1
```



# GGA-PBE NdYMnZn, optimized geometry
data_NdYMnZn
_cell_length_a 7.239
_cell_length_b 7.239
_cell_length_c 7.239
_cell_angle_alpha 90.00
_cell_angle_beta 90.00
_cell_angle_gamma 90.00
_space_group_name_H-M_alt 'F -4 3 m'
_space_group_IT_number 216
_space_group_name_Hall 'F -4 2 3'
loop_
_atom_site_label
_atom_site_type_symbol
_atom_site_fract_x
_atom_site_fract_y
_atom_site_fract_z
_atom_site_occupancy
Nd1 Nd 0.000 0.000 0.000 1
Y1 Y 0.000 0.000 0.500 1
Mn1 Mn 0.250 0.250 0.250 1
Zn1 Zn 0.250 0.250 0.750 1
# energy of formation from the pure elements: -0.0154 eV per atom



Computed, not measured: a relaxed HgPb3S crystal at the GGA-PBE level of DFT.

Geometry as CIF:
```
data_HgPb3S
_cell_length_a 5.689
_cell_length_b 5.689
_cell_length_c 5.689
_cell_angle_alpha 90.00
_cell_angle_beta 90.00
_cell_angle_gamma 90.00
_space_group_name_H-M_alt 'P m -3 m'
_space_group_IT_number 221
_space_group_name_Hall '-P 4 2 3'
loop_
_atom_site_label
_atom_site_type_symbol
_atom_site_fract_x
_atom_site_fract_y
_atom_site_fract_z
_atom_site_occupancy
Hg1 Hg 0.000 0.000 0.000 1
Pb1 Pb 0.000 0.000 0.500 1
S1 S 0.500 0.500 0.500 1
```



Computed, not measured: a relaxed La2Tc2N5 crystal at the GGA-PBE level of DFT.

Geometry as CIF:
```
data_La2Tc2N5
_cell_length_a 15.937
_cell_length_b 5.664
_cell_length_c 5.632
_cell_angle_alpha 90.00
_cell_angle_beta 90.00
_cell_angle_gamma 90.00
_space_group_name_H-M_alt 'I m a 2'
_space_group_IT_number 46
_space_group_name_Hall 'I 2 -2a'
loop_
_atom_site_label
_atom_site_type_symbol
_atom_site_fract_x
_atom_site_fract_y
_atom_site_fract_z
_atom_site_occupancy
La1 La 0.109 0.004 0.000 1
Tc1 Tc 0.000 0.000 0.493 1
Tc2 Tc 0.250 0.556 0.950 1
N1 N 0.005 0.750 0.243 1
N2 N 0.135 0.022 0.485 1
N3 N 0.250 0.634 0.612 1
```



Computed, not measured: a relaxed Ac3Ce3NdSe8 crystal at the GGA-PBE level of DFT.

Geometry as CIF:
```
data_Ac3Ce3NdSe8
_cell_length_a 8.5740
_cell_length_b 8.5740
_cell_length_c 21.5988
_cell_angle_alpha 90.00
_cell_angle_beta 90.00
_cell_angle_gamma 120.00
_space_group_name_H-M_alt 'R -3 m'
_space_group_IT_number 166
_space_group_name_Hall '-R 3 2"'
loop_
_atom_site_label
_atom_site_type_symbol
_atom_site_fract_x
_atom_site_fract_y
_atom_site_fract_z
_atom_site_occupancy
Ac1 Ac 0.0000 0.5000 0.0000 1
Ce1 Ce 0.0000 0.5000 0.5000 1
Nd1 Nd 0.0000 0.0000 0.5000 1
Se1 Se 0.0000 0.0000 0.2448 1
Se2 Se 0.0035 0.5018 0.7543 1
```



Computed, not measured: a relaxed KBaAgI4 crystal at the GGA-PBE level of DFT.

Geometry as CIF:
```
data_KBaAgI4
_cell_length_a 7.949
_cell_length_b 8.284
_cell_length_c 9.797
_cell_angle_alpha 90.00
_cell_angle_beta 107.67
_cell_angle_gamma 90.00
_space_group_name_H-M_alt 'P 1 21/m 1'
_space_group_IT_number 11
_space_group_name_Hall '-P 2yb'
loop_
_atom_site_label
_atom_site_type_symbol
_atom_site_fract_x
_atom_site_fract_y
_atom_site_fract_z
_atom_site_occupancy
K1 K 0.227 0.250 0.053 1
Ba1 Ba 0.232 0.250 0.559 1
Ag1 Ag 0.243 0.750 0.315 1
I1 I 0.012 0.509 0.738 1
I2 I 0.437 0.750 0.118 1
I3 I 0.443 0.750 0.609 1
```



Computed, not measured: a relaxed BaScMoH2 crystal at the GGA-PBE level of DFT.

Geometry as CIF:
```
data_BaScMoH2
_cell_length_a 4.365
_cell_length_b 4.365
_cell_length_c 4.830
_cell_angle_alpha 90.00
_cell_angle_beta 90.00
_cell_angle_gamma 90.00
_space_group_name_H-M_alt 'P 4/m m m'
_space_group_IT_number 123
_space_group_name_Hall '-P 4 2'
loop_
_atom_site_label
_atom_site_type_symbol
_atom_site_fract_x
_atom_site_fract_y
_atom_site_fract_z
_atom_site_occupancy
Ba1 Ba 0.000 0.000 0.000 1
Sc1 Sc 0.500 0.500 0.000 1
Mo1 Mo 0.500 0.500 0.500 1
H1 H 0.000 0.500 0.500 1
```



# GGA-PBE SrCa2Ho, optimized geometry
data_SrCa2Ho
_cell_length_a 8.627
_cell_length_b 8.627
_cell_length_c 8.627
_cell_angle_alpha 90.00
_cell_angle_beta 90.00
_cell_angle_gamma 90.00
_space_group_name_H-M_alt 'F m -3 m'
_space_group_IT_number 225
_space_group_name_Hall '-F 4 2 3'
loop_
_atom_site_label
_atom_site_type_symbol
_atom_site_fract_x
_atom_site_fract_y
_atom_site_fract_z
_atom_site_occupancy
Sr1 Sr 0.000 0.000 0.000 1
Ca1 Ca 0.250 0.250 0.250 1
Ho1 Ho 0.000 0.000 0.500 1
# energy of formation from the pure elements: 0.1639 eV per atom



Computed, not measured: a relaxed LiReTe2 crystal at the GGA-PBE level of DFT.

Geometry as CIF:
```
data_LiReTe2
_cell_length_a 3.6002
_cell_length_b 3.6002
_cell_length_c 23.9160
_cell_angle_alpha 90.00
_cell_angle_beta 90.00
_cell_angle_gamma 120.00
_space_group_name_H-M_alt 'R -3 m'
_space_group_IT_number 166
_space_group_name_Hall '-R 3 2"'
loop_
_atom_site_label
_atom_site_type_symbol
_atom_site_fract_x
_atom_site_fract_y
_atom_site_fract_z
_atom_site_occupancy
Li1 Li 0.0000 0.0000 0.0000 1
Re1 Re 0.0000 0.0000 0.5000 1
Te1 Te 0.0000 0.0000 0.2413 1
```



# GGA-PBE Sm4Ga2Co, optimized geometry
data_Sm4Ga2Co
_cell_length_a 16.611
_cell_length_b 3.827
_cell_length_c 6.193
_cell_angle_alpha 90.00
_cell_angle_beta 111.66
_cell_angle_gamma 90.00
_space_group_name_H-M_alt 'C 1 2/m 1'
_space_group_IT_number 12
_space_group_name_Hall '-C 2y'
loop_
_atom_site_label
_atom_site_type_symbol
_atom_site_fract_x
_atom_site_fract_y
_atom_site_fract_z
_atom_site_occupancy
Sm1 Sm 0.086 0.000 0.433 1
Sm2 Sm 0.129 0.500 0.988 1
Ga1 Ga 0.238 0.500 0.643 1
Co1 Co 0.000 0.000 0.000 1
# energy of formation from the pure elements: -0.2639 eV per atom



# GGA-PBE CaScCu4, optimized geometry
data_CaScCu4
_cell_length_a 7.325
_cell_length_b 7.325
_cell_length_c 7.325
_cell_angle_alpha 90.00
_cell_angle_beta 90.00
_cell_angle_gamma 90.00
_space_group_name_H-M_alt 'F -4 3 m'
_space_group_IT_number 216
_space_group_name_Hall 'F -4 2 3'
loop_
_atom_site_label
_atom_site_type_symbol
_atom_site_fract_x
_atom_site_fract_y
_atom_site_fract_z
_atom_site_occupancy
Ca1 Ca 0.000 0.000 0.000 1
Sc1 Sc 0.250 0.250 0.750 1
Cu1 Cu 0.125 0.125 0.375 1
# energy of formation from the pure elements: -0.1082 eV per atom



Computed, not measured: a relaxed AlTc2Se crystal at the GGA-PBE level of DFT.

Geometry as CIF:
```
data_AlTc2Se
_cell_length_a 4.372
_cell_length_b 3.003
_cell_length_c 5.030
_cell_angle_alpha 90.00
_cell_angle_beta 113.99
_cell_angle_gamma 90.00
_space_group_name_H-M_alt 'P 1 2/m 1'
_space_group_IT_number 10
_space_group_name_Hall '-P 2y'
loop_
_atom_site_label
_atom_site_type_symbol
_atom_site_fract_x
_atom_site_fract_y
_atom_site_fract_z
_atom_site_occupancy
Al1 Al 0.000 0.000 0.000 1
Tc1 Tc 0.500 0.000 0.500 1
Tc2 Tc 0.500 0.500 0.000 1
Se1 Se 0.000 0.500 0.500 1
```



# GGA-PBE AcYPt, optimized geometry
data_AcYPt
_cell_length_a 7.236
_cell_length_b 7.236
_cell_length_c 7.236
_cell_angle_alpha 90.00
_cell_angle_beta 90.00
_cell_angle_gamma 90.00
_space_group_name_H-M_alt 'F -4 3 m'
_space_group_IT_number 216
_space_group_name_Hall 'F -4 2 3'
loop_
_atom_site_label
_atom_site_type_symbol
_atom_site_fract_x
_atom_site_fract_y
_atom_site_fract_z
_atom_site_occupancy
Ac1 Ac 0.000 0.000 0.000 1
Y1 Y 0.000 0.000 0.500 1
Pt1 Pt 0.250 0.250 0.750 1
# energy of formation from the pure elements: -0.6920 eV per atom



# GGA-PBE MgOsRu, optimized geometry
data_MgOsRu
_cell_length_a 6.734
_cell_length_b 4.209
_cell_length_c 7.236
_cell_angle_alpha 90.00
_cell_angle_beta 90.00
_cell_angle_gamma 90.00
_space_group_name_H-M_alt 'P n m a'
_space_group_IT_number 62
_space_group_name_Hall '-P 2ac 2n'
loop_
_atom_site_label
_atom_site_type_symbol
_atom_site_fract_x
_atom_site_fract_y
_atom_site_fract_z
_atom_site_occupancy
Mg1 Mg 0.002 0.250 0.180 1
Os1 Os 0.179 0.250 0.590 1
Ru1 Ru 0.179 0.750 0.406 1
# energy of formation from the pure elements: 0.1617 eV per atom



# GGA-PBE TlCo2Ru, optimized geometry
data_TlCo2Ru
_cell_length_a 3.098
_cell_length_b 4.356
_cell_length_c 8.672
_cell_angle_alpha 90.00
_cell_angle_beta 90.00
_cell_angle_gamma 90.00
_space_group_name_H-M_alt 'I m m 2'
_space_group_IT_number 44
_space_group_name_Hall 'I 2 -2'
loop_
_atom_site_label
_atom_site_type_symbol
_atom_site_fract_x
_atom_site_fract_y
_atom_site_fract_z
_atom_site_occupancy
Tl1 Tl 0.000 0.000 0.000 1
Co1 Co 0.000 0.000 0.477 1
Co2 Co 0.000 0.500 0.759 1
Ru1 Ru 0.000 0.500 0.227 1
# energy of formation from the pure elements: 0.5273 eV per atom



Computed, not measured: a relaxed NaSr2InSe4 crystal at the GGA-PBE level of DFT.

Geometry as CIF:
```
data_NaSr2InSe4
_cell_length_a 8.630
_cell_length_b 8.668
_cell_length_c 11.907
_cell_angle_alpha 90.00
_cell_angle_beta 90.00
_cell_angle_gamma 90.00
_space_group_name_H-M_alt 'I m m a'
_space_group_IT_number 74
_space_group_name_Hall '-I 2b 2'
loop_
_atom_site_label
_atom_site_type_symbol
_atom_site_fract_x
_atom_site_fract_y
_atom_site_fract_z
_atom_site_occupancy
Na1 Na 0.000 0.000 0.000 1
Sr1 Sr 0.000 0.000 0.500 1
Sr2 Sr 0.250 0.250 0.250 1
In1 In 0.250 0.250 0.750 1
Se1 Se 0.000 0.014 0.755 1
Se2 Se 0.246 0.250 0.981 1
```



Computed, not measured: a relaxed Tb5PaSb6 crystal at the GGA-PBE level of DFT.

Geometry as CIF:
```
data_Tb5PaSb6
_cell_length_a 7.606
_cell_length_b 13.173
_cell_length_c 7.604
_cell_angle_alpha 90.00
_cell_angle_beta 109.45
_cell_angle_gamma 90.00
_space_group_name_H-M_alt 'C 1 2/m 1'
_space_group_IT_number 12
_space_group_name_Hall '-C 2y'
loop_
_atom_site_label
_atom_site_type_symbol
_atom_site_fract_x
_atom_site_fract_y
_atom_site_fract_z
_atom_site_occupancy
Tb1 Tb 0.000 0.000 0.000 1
Tb2 Tb 0.000 0.166 0.500 1
Tb3 Tb 0.000 0.332 0.000 1
Pa1 Pa 0.000 0.500 0.500 1
Sb1 Sb 0.247 0.500 0.252 1
Sb2 Sb 0.248 0.335 0.749 1
```



Computed, not measured: a relaxed SrSb2CI crystal at the GGA-PBE level of DFT.

Geometry as CIF:
```
data_SrSb2CI
_cell_length_a 4.623
_cell_length_b 4.623
_cell_length_c 7.134
_cell_angle_alpha 90.00
_cell_angle_beta 90.00
_cell_angle_gamma 90.00
_space_group_name_H-M_alt 'P 4/m m m'
_space_group_IT_number 123
_space_group_name_Hall '-P 4 2'
loop_
_atom_site_label
_atom_site_type_symbol
_atom_site_fract_x
_atom_site_fract_y
_atom_site_fract_z
_atom_site_occupancy
Sr1 Sr 0.000 0.000 0.000 1
Sb1 Sb 0.000 0.500 0.500 1
C1 C 0.500 0.500 0.500 1
I1 I 0.500 0.500 0.000 1
```



Calculated total energy in eV per atom, matching the order above: -4.606; -1.718; -7.382; -5.057; -3.122; -5.434; -2.513; -8.747; -6.046; -2.967; -4.414; -2.402; -5.042; -4.840; -4.228; -6.936; -6.230; -7.205; -5.936; -4.012; -5.820; -3.758
Calculated volume in Å³/atom, matching the order above: 30.7; 52.1; 16.2; 16.0; 19.3; 23.7; 36.8; 14.1; 30.6; 43.9; 18.4; 40.1; 22.4; 26.1; 16.4; 15.1; 31.6; 17.1; 14.6; 27.8; 29.9; 30.5